VASP calculation (GGA-PBE) on Tb2TmTl3AgPd2 after structural relaxation.

a = 3.762 Å, b = 7.919 Å, c = 7.919 Å
α = 119.85°, β = 90.00°, γ = 90.00°
Sites, in units of the cell vectors:
Tb 0.000 0.203 0.797
Tb 0.000 0.797 0.203
Tm 0.000 0.610 0.610
Tl 0.500 0.203 0.477
Tl 0.500 0.477 0.203
Tl 0.500 0.929 0.929
Ag 0.000 0.204 0.204
Pd 0.500 0.537 0.867
Pd 0.500 0.867 0.537

Computed properties:
space group = Amm2
raw total energy = -38.908 eV/cell

VASP calculation (GGA-PBE) on TbY2Tl3AgPd2 after structural relaxation.

a = 3.785 Å, b = 7.931 Å, c = 7.931 Å
α = 119.93°, β = 90.00°, γ = 90.00°
Sites, in units of the cell vectors:
Tb 0.000 0.000 0.000
Y 0.000 0.407 0.813
Y 0.000 0.813 0.407
Tl 0.500 0.134 0.407
Tl 0.500 0.407 0.134
Tl 0.500 0.680 0.680
Ag 0.000 0.407 0.407
Pd 0.500 0.074 0.741
Pd 0.500 0.741 0.074

Computed properties:
space group = Amm2
raw total energy = -42.842 eV/cell

VASP calculation (GGA-PBE) on AgTePd2 after structural relaxation.

a = 4.660 Å, b = 4.660 Å, c = 4.660 Å
α = 60.00°, β = 60.00°, γ = 60.00°
Sites, in units of the cell vectors:
Ag 0.000 0.000 0.000
Te 0.750 0.750 0.750
Pd 0.250 0.250 0.250
Pd 0.500 0.500 0.500

Computed properties:
space group = F-43m
raw total energy = -16.600 eV/cell

VASP calculation (GGA-PBE) on AgTe2Pd after structural relaxation.

a = 5.014 Å, b = 5.014 Å, c = 5.014 Å
α = 60.00°, β = 60.00°, γ = 60.00°
Sites, in units of the cell vectors:
Ag 0.000 0.000 0.000
Te 0.500 0.500 0.500
Te 0.750 0.750 0.750
Pd 0.250 0.250 0.250

Computed properties:
space group = F-43m
raw total energy = -13.133 eV/cell

VASP calculation (GGA-PBE) on AgTe5Pd3 after structural relaxation.

a = 5.737 Å, b = 5.737 Å, c = 7.835 Å
α = 90.00°, β = 90.00°, γ = 120.00°
Sites, in units of the cell vectors:
Ag 0.000 0.000 0.000
Te 0.000 0.000 0.500
Te 0.333 0.667 0.214
Te 0.333 0.667 0.786
Te 0.667 0.333 0.214
Te 0.667 0.333 0.786
Pd 0.000 0.500 0.500
Pd 0.500 0.000 0.500
Pd 0.500 0.500 0.500

Computed properties:
space group = P6/mmm
raw total energy = -34.230 eV/cell

VASP calculation (GGA-PBE) on AgTePd after structural relaxation.

a = 4.562 Å, b = 4.562 Å, c = 4.562 Å
α = 60.00°, β = 60.00°, γ = 60.00°
Sites, in units of the cell vectors:
Ag 0.000 0.000 0.000
Te 0.250 0.250 0.250
Pd 0.500 0.500 0.500

Computed properties:
space group = F-43m
raw total energy = -11.314 eV/cell

VASP calculation (GGA-PBE) on ZrAgTe3Pd after structural relaxation.

a = 7.657 Å, b = 7.657 Å, c = 10.379 Å
α = 90.00°, β = 90.00°, γ = 149.58°
Sites, in units of the cell vectors:
Zr 0.000 0.000 0.000
Zr 0.000 0.000 0.500
Ag 0.155 0.845 0.750
Ag 0.845 0.155 0.250
Te 0.102 0.898 0.250
Te 0.356 0.644 0.049
Te 0.356 0.644 0.451
Te 0.644 0.356 0.549
Te 0.644 0.356 0.951
Te 0.898 0.102 0.750
Pd 0.481 0.519 0.250
Pd 0.519 0.481 0.750

Computed properties:
space group = Cmcm
raw total energy = -58.095 eV/cell

VASP calculation (GGA-PBE) on ZrAgTe3Pd after structural relaxation.

a = 8.190 Å, b = 3.970 Å, c = 9.943 Å
α = 90.00°, β = 105.50°, γ = 90.00°
Sites, in units of the cell vectors:
Zr 0.208 0.250 0.195
Zr 0.792 0.750 0.805
Ag 0.115 0.750 0.675
Ag 0.885 0.250 0.325
Te 0.077 0.250 0.877
Te 0.237 0.250 0.498
Te 0.436 0.750 0.141
Te 0.564 0.250 0.859
Te 0.763 0.750 0.502
Te 0.923 0.750 0.123
Pd 0.406 0.750 0.402
Pd 0.594 0.250 0.598

Computed properties:
space group = P2_1/m
raw total energy = -58.151 eV/cell

VASP calculation (GGA-PBE) on TlAgPd2 after structural relaxation.

a = 4.261 Å, b = 4.261 Å, c = 3.877 Å
α = 90.00°, β = 90.00°, γ = 90.00°
Sites, in units of the cell vectors:
Tl 0.000 0.000 0.000
Ag 0.500 0.500 0.000
Pd 0.000 0.500 0.500
Pd 0.500 0.000 0.500

Computed properties:
space group = P4/mmm
raw total energy = -16.264 eV/cell

VASP calculation (GGA-PBE) on TlAgPd2 after structural relaxation.

a = 4.621 Å, b = 4.621 Å, c = 4.621 Å
α = 60.00°, β = 60.00°, γ = 60.00°
Sites, in units of the cell vectors:
Tl 0.000 0.000 0.000
Ag 0.250 0.250 0.250
Pd 0.500 0.500 0.500
Pd 0.750 0.750 0.750

Computed properties:
space group = F-43m
raw total energy = -15.811 eV/cell

VASP calculation (GGA-PBE) on TmAg2Pd after structural relaxation.

a = 4.948 Å, b = 5.623 Å, c = 5.389 Å
α = 90.00°, β = 90.00°, γ = 90.00°
Sites, in units of the cell vectors:
Tm 0.250 0.250 0.129
Tm 0.750 0.750 0.871
Ag 0.250 0.503 0.643
Ag 0.250 0.997 0.643
Ag 0.750 0.003 0.357
Ag 0.750 0.497 0.357
Pd 0.250 0.750 0.161
Pd 0.750 0.250 0.839

Computed properties:
space group = Pmmn
DFT formation energy = -2.08 eV/f.u.
raw total energy = -34.754 eV/cell

VASP calculation (GGA-PBE) on TmAgPd2 after structural relaxation.

a = 4.264 Å, b = 4.264 Å, c = 3.884 Å
α = 90.00°, β = 90.00°, γ = 90.00°
Sites, in units of the cell vectors:
Tm 0.000 0.000 0.000
Ag 0.500 0.500 0.000
Pd 0.000 0.500 0.500
Pd 0.500 0.000 0.500

Computed properties:
space group = P4/mmm
DFT formation energy = -2.98 eV/f.u.
raw total energy = -20.634 eV/cell